Record 1
DFT (PBE-GGA) results for crystalline Er5CdIn2 at its relaxed geometry.

## Properties
E_form (eV per atom): -0.214
DOS(E_F) (states/eV/f.u.): 8.17
Space-group type: Cmcm
Electronic total energy (eV/atom): -3.86

abc: 4.6293 5.9774 17.2001
angles: 90.00 90.00 112.78
Last column: nearest neighbours and their distance in Å.
Sites, in units of the cell vectors:
Er1 0.5439 0.0878 0.7500  3 Cd 3.14-3.31
In1 0.7577 0.5154 0.1521  2 Cd 3.02, 3 Er 3.19-3.29, 1 In 3.37
Er2 0.9559 0.9118 0.9017  1 Cd 2.96, 1 In 3.29
Er3 0.4561 0.9122 0.2500  3 Cd 3.14-3.31
In2 0.7577 0.5154 0.3479  2 Cd 3.02, 3 Er 3.19-3.29, 1 In 3.37
Er4 0.0441 0.0882 0.4017  1 Cd 2.96, 1 In 3.29
Er5 0.6533 0.3065 0.9621  3 In 3.19-3.47, 7 Er 3.34-3.51
Er6 0.3467 0.6935 0.4621  3 In 3.19-3.47, 7 Er 3.34-3.51
Er7 0.0441 0.0882 0.0983  1 Cd 2.96, 1 In 3.29
In3 0.2423 0.4846 0.8479  2 Cd 3.02, 3 Er 3.19-3.29, 1 In 3.37
Er8 0.9559 0.9118 0.5983  1 Cd 2.96, 1 In 3.29
Er9 0.6533 0.3065 0.5379  3 In 3.19-3.47, 7 Er 3.34-3.51
Cd1 0.8292 0.6584 0.7500  5 Er 2.96-3.31, 4 In 3.02
Er10 0.3467 0.6935 0.0379  3 In 3.19-3.47, 7 Er 3.34-3.51
In4 0.2423 0.4846 0.6521  2 Cd 3.02, 3 Er 3.19-3.29, 1 In 3.37
Cd2 0.1708 0.3416 0.2500  5 Er 2.96-3.31, 4 In 3.02

Record 2
DFT (PBE-GGA) results for crystalline ErCdIn at its relaxed geometry.

## Properties
E_form (eV per atom): -0.359
DOS(E_F) (states/eV/f.u.): 2.09
Space-group type: P-6m2
Electronic total energy (eV/atom): -3.10

abc: 3.5408 4.9035 4.9035
angles: 120.00 90.00 90.00
Last column: nearest neighbours and their distance in Å.
Sites, in units of the cell vectors:
In1 0.1674 0.3333 0.6667  3 Cd 2.83
Cd1 0.1660 0.0000 0.0000  3 In 2.83
Er1 0.6666 0.6667 0.3333  6 In 3.34, 6 Cd 3.34, 2 Er 3.54

Record 3
DFT (PBE-GGA) results for crystalline Er2Cd3In2 at its relaxed geometry.

## Properties
E_form (eV per atom): -0.233
DOS(E_F) (states/eV/f.u.): 3.19
Space-group type: Cmmm
Electronic total energy (eV/atom): -2.71

abc: 3.4262 4.6569 11.1323
angles: 102.07 90.00 90.00
Last column: nearest neighbours and their distance in Å.
Sites, in units of the cell vectors:
Er1 0.0000 0.1510 0.3020  6 In 3.17-3.46, 5 Cd 3.29-3.40, 2 Er 3.43
Cd1 0.5000 0.5690 0.1381  5 Cd 3.01-3.26, 1 In 3.09
In1 0.5000 0.2892 0.5785  2 In 2.89, 1 Cd 3.09, 4 Er 3.17
Cd2 0.0000 0.0000 0.0000  10 Cd 3.26-3.43, 2 Er 3.29
In2 0.5000 0.7108 0.4215  2 In 2.89, 1 Cd 3.09, 4 Er 3.17
Er2 0.0000 0.8490 0.6980  6 In 3.17-3.46, 5 Cd 3.29-3.40, 2 Er 3.43
Cd3 0.5000 0.4310 0.8619  5 Cd 3.01-3.26, 1 In 3.09

Record 4
DFT (PBE-GGA) results for crystalline Er2Cd5In at its relaxed geometry.

## Properties
E_form (eV per atom): -0.212
DOS(E_F) (states/eV/f.u.): 3.20
Space-group type: Cmcm
Electronic total energy (eV/atom): -2.27

abc: 3.5248 11.3919 9.9693
angles: 90.00 90.00 98.90
Last column: nearest neighbours and their distance in Å.
Sites, in units of the cell vectors:
Er1 0.0000 0.0000 0.5000  4 In 3.32, 8 Cd 3.32-3.43, 2 Er 3.52
Er2 0.1794 0.3588 0.2500  2 In 3.25, 10 Cd 3.26-3.63, 2 Er 3.52
Cd1 0.7827 0.5655 0.3957  5 Cd 2.91-3.10
Er3 0.8206 0.6412 0.7500  2 In 3.25, 10 Cd 3.26-3.63, 2 Er 3.52
Cd2 0.6251 0.2502 0.0036  3 Cd 2.82-2.93, 1 In 2.88
Cd3 0.4303 0.8606 0.2500  2 Cd 2.82, 1 In 2.88
Cd4 0.6251 0.2502 0.4964  3 Cd 2.82-2.93, 1 In 2.88
Cd5 0.2173 0.4345 0.6043  5 Cd 2.91-3.10
Cd6 0.7827 0.5655 0.1043  5 Cd 2.91-3.10
In1 0.5582 0.1164 0.2500  3 Cd 2.88
Cd7 0.5697 0.1394 0.7500  2 Cd 2.82, 1 In 2.88
Cd8 0.2173 0.4345 0.8957  5 Cd 2.91-3.10
Er4 0.0000 0.0000 0.0000  4 In 3.32, 8 Cd 3.32-3.43, 2 Er 3.52
Cd9 0.3749 0.7498 0.9964  3 Cd 2.82-2.93, 1 In 2.88
Cd10 0.3749 0.7498 0.5036  3 Cd 2.82-2.93, 1 In 2.88
In2 0.4418 0.8836 0.7500  3 Cd 2.88